No. 1
DFT (SCAN) results for a PBEsol-optimized structure of Li2MgCu.

Properties
Formation energy from the elements = -42 meV/atom
Total energy = -6.28 eV per atom
Calculated density = 2.66 g/cm3

Unit cell a=3.022 b=4.506 c=5.403 alpha=114.65 beta=106.24 gamma=90.00
Atoms (fractional coordinates):
Mg: 0.000 0.500 0.000
Cu: 0.500 0.000 0.000
Li: 0.223 0.223 0.445
Li: 0.777 0.777 0.555

---

No. 2
DFT (SCAN) results for a PBEsol-optimized structure of Li2MgCu.

Properties
Formation energy from the elements = -45 meV/atom
Total energy = -6.28 eV per atom
Calculated density = 2.73 g/cm3

Unit cell a=4.262 b=4.553 c=4.262 alpha=62.09 beta=90.00 gamma=117.91
Atoms (fractional coordinates):
Li: 0.250 0.500 0.250
Li: 0.000 0.000 0.000
Mg: 0.500 0.000 0.500
Cu: 0.750 0.500 0.750

---

No. 3
DFT (SCAN) results for a PBEsol-optimized structure of Li8Mg3Cu9Si16O48.

Properties
E_form (uncorrected) = -2.479 eV per atom
Total energy = -9.98 eV per atom
Calculated density = 3.69 g/cm3

Unit cell a=8.199 b=8.280 c=14.050 alpha=76.34 beta=73.90 gamma=72.93
Site moments in Bohr magnetons follow the coordinates.
Atoms (fractional coordinates):
Cu: 0.745 0.223 0.459  0.73
Cu: 0.247 0.469 0.212  0.72
Cu: 0.255 0.777 0.541  0.73
Cu: 0.500 0.500 0.000  0.78
Cu: 0.753 0.531 0.788  0.72
Cu: 0.757 0.025 0.292  0.72
Cu: 0.743 0.724 0.959  0.73
Cu: 0.243 0.975 0.708  0.72
Cu: 0.257 0.276 0.041  0.73
O: 0.680 0.603 0.204  0.01
O: 0.774 0.293 0.792  0.06
O: 0.743 0.269 0.286  0.06
O: 0.505 0.584 0.826  0.07
O: 0.722 0.963 0.957  0.06
O: 0.443 0.000 0.849  0.00
O: 0.056 0.748 0.401  0.00
O: 0.997 0.177 0.414  0.07
O: 0.226 0.707 0.208  0.06
O: 0.759 0.978 0.470  0.06
O: 0.241 0.022 0.530  0.06
O: 0.324 0.892 0.297  0.01
O: 0.946 0.747 0.099  0.00
O: 0.259 0.226 0.220  0.06
O: 0.054 0.253 0.901  0.00
O: 0.446 0.505 0.354  0.00
O: 0.557 0.000 0.151  0.00
O: 0.777 0.788 0.292  0.06
O: 0.278 0.037 0.043  0.06
O: 0.003 0.823 0.586  0.07
O: 0.494 0.931 0.663  0.07
O: 0.495 0.416 0.174  0.07
O: 0.006 0.507 0.745  0.06
O: 0.741 0.774 0.780  0.06
O: 0.944 0.252 0.599  0.00
O: 0.491 0.245 0.506  0.06
O: 0.179 0.357 0.452  0.01
O: 0.010 0.004 0.245  0.06
O: 0.005 0.323 0.086  0.07
O: 0.506 0.069 0.337  0.07
O: 0.554 0.495 0.646  0.00
O: 0.320 0.397 0.796  0.01
O: 0.490 0.739 0.005  0.11
O: 0.270 0.539 0.546  0.06
O: 0.257 0.731 0.714  0.06
O: 0.994 0.493 0.255  0.06
O: 0.510 0.261 0.995  0.11
O: 0.821 0.643 0.548  0.01
O: 0.990 0.996 0.755  0.06
O: 0.995 0.677 0.914  0.07
O: 0.177 0.857 0.952  0.01
O: 0.730 0.461 0.454  0.06
O: 0.823 0.143 0.048  0.01
O: 0.509 0.755 0.494  0.06
O: 0.223 0.212 0.708  0.06
O: 0.753 0.479 0.973  0.11
O: 0.247 0.521 0.027  0.11
O: 0.676 0.108 0.703  0.01
Li: 0.457 0.271 0.644  0.00
Li: 0.955 0.022 0.893  0.00
Li: 0.541 0.242 0.856  0.00
Li: 0.045 0.978 0.107  0.00
Li: 0.040 0.477 0.608  0.00
Li: 0.960 0.523 0.392  0.00
Li: 0.459 0.758 0.144  0.00
Li: 0.543 0.729 0.356  0.00
Si: 0.407 0.566 0.746  0.00
Si: 0.648 0.089 0.039  0.01
Si: 0.093 0.686 0.997  0.00
Si: 0.907 0.314 0.003  0.00
Si: 0.908 0.813 0.502  0.00
Si: 0.854 0.660 0.212  0.01
Si: 0.649 0.586 0.536  0.00
Si: 0.590 0.938 0.747  0.00
Si: 0.851 0.165 0.711  0.00
Si: 0.410 0.062 0.253  0.00
Si: 0.146 0.340 0.788  0.01
Si: 0.092 0.187 0.498  0.00
Si: 0.352 0.911 0.961  0.01
Si: 0.351 0.414 0.464  0.00
Si: 0.149 0.835 0.289  0.00
Si: 0.593 0.434 0.254  0.00
Mg: 0.999 0.753 0.747  0.00
Mg: 0.500 0.000 0.500  0.00
Mg: 0.001 0.247 0.253  0.00

---

No. 4
DFT (SCAN) results for a PBEsol-optimized structure of LiMgCu2Pd.

Properties
Formation energy from the elements = 383 meV/atom
Total energy = -13.72 eV per atom
Calculated density = 4.69 g/cm3

Unit cell a=4.305 b=4.665 c=4.665 alpha=90.00 beta=90.00 gamma=90.00
Atoms (fractional coordinates):
Cu: 0.000 0.500 0.000
Cu: 0.000 0.000 0.500
Mg: 0.500 0.500 0.500
Li: 0.500 0.000 0.000
Pd: 0.000 0.000 0.000

---

No. 5
DFT (SCAN) results for a PBEsol-optimized structure of LiMnCu2.

Properties
Formation energy from the elements = -18 meV/atom
Energy relative to the lowest polymorph listed for this composition = 45 meV per atom
Total energy = -12.78 eV per atom
Calculated density = 6.58 g/cm3

Unit cell a=4.071 b=4.071 c=4.071 alpha=60.00 beta=60.00 gamma=60.00
Site moments in Bohr magnetons follow the coordinates.
Atoms (fractional coordinates):
Cu: 0.000 0.000 0.000  0.09
Cu: 0.250 0.250 0.250  0.03
Mn: 0.750 0.750 0.750  4.00
Li: 0.500 0.500 0.500  -0.01

---

No. 6
DFT (SCAN) results for a PBEsol-optimized structure of Li2MnCu.

Properties
Formation energy from the elements = 286 meV/atom
Energy relative to the lowest polymorph listed for this composition = 256 meV per atom
Total energy = -9.27 eV per atom
Calculated density = 4.51 g/cm3

Unit cell a=2.377 b=2.377 c=8.725 alpha=90.00 beta=90.00 gamma=98.77
Site moments in Bohr magnetons follow the coordinates.
Atoms (fractional coordinates):
Mn: 0.000 0.000 0.486  0.70
Cu: 0.500 0.500 0.260  0.01
Li: 0.500 0.500 0.727  -0.03
Li: 0.000 0.000 0.026  0.00

---

No. 7
DFT (SCAN) results for a PBEsol-optimized structure of Li2MnCu.

Properties
Formation energy from the elements = 51 meV/atom
Energy relative to the lowest polymorph listed for this composition = 21 meV per atom
Total energy = -9.51 eV per atom
Calculated density = 4.07 g/cm3

Unit cell a=3.557 b=3.557 c=4.265 alpha=90.00 beta=90.00 gamma=90.00
Site moments in Bohr magnetons follow the coordinates.
Atoms (fractional coordinates):
Li: 0.500 0.000 0.000  -0.03
Li: 0.000 0.500 0.000  -0.03
Cu: 0.000 0.000 0.500  0.10
Mn: 0.500 0.500 0.500  4.06

---

No. 8
DFT (SCAN) results for a PBEsol-optimized structure of LiMn3Cu.

Properties
Formation energy from the elements = 472 meV/atom
Energy relative to the lowest polymorph listed for this composition = 0 meV per atom
Total energy = -14.00 eV per atom
Calculated density = 4.08 g/cm3

Unit cell a=4.575 b=4.575 c=4.575 alpha=90.00 beta=90.00 gamma=90.00
Site moments in Bohr magnetons follow the coordinates.
Atoms (fractional coordinates):
Cu: 0.000 0.000 0.000  0.25
Mn: 0.000 0.000 0.500  4.18
Mn: 0.500 0.000 0.000  4.18
Mn: 0.000 0.500 0.000  4.18
Li: 0.500 0.500 0.500  -0.01

---

No. 9
DFT (SCAN) results for a PBEsol-optimized structure of Li2MnCu.

Properties
Formation energy from the elements = 30 meV/atom
Energy relative to the lowest polymorph listed for this composition = 0 meV per atom
Total energy = -9.53 eV per atom
Calculated density = 3.78 g/cm3

Unit cell a=2.721 b=2.721 c=7.851 alpha=90.00 beta=90.00 gamma=90.00
Site moments in Bohr magnetons follow the coordinates.
Atoms (fractional coordinates):
Li: 0.000 0.000 0.961  0.01
Li: 0.500 0.500 0.267  -0.02
Cu: 0.500 0.500 0.739  0.10
Mn: 0.000 0.000 0.533  3.89

---

No. 10
DFT (SCAN) results for a PBEsol-optimized structure of LiMnCu2.

Properties
Formation energy from the elements = 127 meV/atom
Energy relative to the lowest polymorph listed for this composition = 190 meV per atom
Total energy = -12.63 eV per atom
Calculated density = 6.93 g/cm3

Unit cell a=2.382 b=2.382 c=7.981 alpha=90.00 beta=90.00 gamma=90.00
Site moments in Bohr magnetons follow the coordinates.
Atoms (fractional coordinates):
Mn: 0.500 0.500 0.500  3.12
Li: 0.500 0.500 0.000  -0.01
Cu: 0.000 0.000 0.740  0.07
Cu: 0.000 0.000 0.260  0.07

---

No. 11
DFT (SCAN) results for a PBEsol-optimized structure of LiMnCu2.

Properties
Formation energy from the elements = -63 meV/atom
Energy relative to the lowest polymorph listed for this composition = 0 meV per atom
Total energy = -12.82 eV per atom
Calculated density = 6.51 g/cm3

Unit cell a=3.621 b=3.621 c=4.479 alpha=113.84 beta=113.84 gamma=90.00
Site moments in Bohr magnetons follow the coordinates.
Atoms (fractional coordinates):
Cu: 0.000 0.000 0.000  0.09
Cu: 0.750 0.250 0.500  0.07
Li: 0.500 0.500 0.000  -0.01
Mn: 0.250 0.750 0.500  3.96

---

No. 12
DFT (SCAN) results for a PBEsol-optimized structure of LiMnCu2.

Properties
Formation energy from the elements = 72 meV/atom
Energy relative to the lowest polymorph listed for this composition = 135 meV per atom
Total energy = -12.69 eV per atom
Calculated density = 6.68 g/cm3

Unit cell a=2.520 b=2.520 c=8.666 alpha=81.64 beta=81.64 gamma=60.00
Site moments in Bohr magnetons follow the coordinates.
Atoms (fractional coordinates):
Cu: 0.251 0.251 0.246  0.06
Cu: 0.749 0.749 0.754  0.06
Li: 0.500 0.500 0.500  -0.01
Mn: 0.000 0.000 0.000  3.30

---

Please write out number 2 again, unchanged.
DFT (SCAN) results for a PBEsol-optimized structure of Li2MgCu.

Properties
Formation energy from the elements = -45 meV/atom
Total energy = -6.28 eV per atom
Calculated density = 2.73 g/cm3

Unit cell a=4.262 b=4.553 c=4.262 alpha=62.09 beta=90.00 gamma=117.91
Atoms (fractional coordinates):
Li: 0.250 0.500 0.250
Li: 0.000 0.000 0.000
Mg: 0.500 0.000 0.500
Cu: 0.750 0.500 0.750